No. 1
## CdSn2HgRu (PBE-GGA)

Data for a relaxed CdSn2HgRu crystal.

Lattice parameters (Å, degrees): 5.083 5.083 5.374 90.00 90.00 90.00
Space group P4/mmm (No. 123)
Asymmetric unit:
Cd1 0.000 0.000 0.000 x1
Sn1 0.000 0.500 0.500 x2
Hg1 0.500 0.500 0.000 x1
Ru1 0.000 0.000 0.500 x1

Results
For the formation energy from the elements, the calculation gives 0.048 eV per atom. The density comes out at 7.8 g/cm3.

=====

No. 2
## Ti6TlIn3 (PBE-GGA)

Data for a relaxed Ti6TlIn3 crystal.

Lattice parameters (Å, degrees): 8.233 14.112 7.065 90.00 90.00 90.00
Space group Cmc2_1 (No. 36)
Asymmetric unit:
Ti1 0.000 0.057 0.000 x4
Ti2 0.000 0.261 0.698 x4
Ti3 0.187 0.409 0.784 x8
Ti4 0.203 0.226 0.995 x8
Tl1 0.000 0.186 0.319 x4
In1 0.000 0.425 0.435 x4
In2 0.204 0.092 0.672 x8

Results
For the formation energy from the elements, the calculation gives 0.112 eV per atom. The density comes out at 6.8 g/cm3.